CaNdGePd | Alexandria via LeMat-Bulk | GGA-PBE | relaxed; DFT formation energy = -0.695 eV/atom; SG = No. 216; energy above the most stable polymorph in this dataset = 0.016 eV/atom
1.0
5.115 0.000 0.000
2.558 4.430 0.000
2.558 1.477 4.177
Ge Nd Ca Pd
1 1 1 1
direct
0.250 0.250 0.250
0.000 0.000 0.000
0.500 0.500 0.500
0.750 0.750 0.750

MgSi2Ir | Alexandria via LeMat-Bulk | GGA-PBE | relaxed; SG = No. 44; formation energy without anion corrections = -0.041 eV/atom
1.0
-1.634 4.074 2.669
-3.878 -0.844 3.261
4.822 -1.271 -1.232
Ir Mg Si
1 1 2
direct
0.474 0.474 0.000
0.750 0.250 0.500
0.022 0.022 0.000
0.254 0.754 0.500

Sc2InCoC | Alexandria via LeMat-Bulk | GGA-PBE | relaxed; DFT formation energy = -0.391 eV/atom; SG = No. 123
1.0
-1.135 -2.579 3.659
4.274 -1.748 0.093
1.092 2.794 2.308
Sc C Co In
2 1 1 1
direct
0.000 0.500 0.000
0.500 0.000 0.000
0.000 0.000 0.000
0.000 0.000 0.500
0.500 0.500 0.500